# In4Co

A geometry-optimized In4Co structure (PBE-GGA, Alexandria).

Cell and atoms, written as CIF:
```
data_In4Co
_chemical_formula_sum 'In8 Co2'
_cell_length_a 6.155
_cell_length_b 6.155
_cell_length_c 6.155
_cell_angle_alpha 90.00
_cell_angle_beta 90.00
_cell_angle_gamma 90.00
_space_group_name_H-M_alt 'I m -3 m'
_space_group_IT_number 229
_space_group_name_Hall '-I 4 2 3'
loop_
_atom_site_label
_atom_site_type_symbol
_atom_site_fract_x
_atom_site_fract_y
_atom_site_fract_z
_atom_site_occupancy
In1 In 0.250 0.250 0.250 1
Co1 Co 0.000 0.000 0.000 1
```

* D(E_F): 0.72 states/eV/atom
* energy of formation: 0.29 eV per formula unit
* excess energy over the best structure of this formula in the dataset: 0 meV per atom



# In5Co3

A geometry-optimized In5Co3 structure (PBE-GGA, Alexandria).

Cell and atoms, written as CIF:
```
data_In5Co3
_chemical_formula_sum 'In10 Co6'
_cell_length_a 7.912
_cell_length_b 8.354
_cell_length_c 4.242
_cell_angle_alpha 90.00
_cell_angle_beta 90.00
_cell_angle_gamma 90.00
_space_group_name_H-M_alt 'C m m m'
_space_group_IT_number 65
_space_group_name_Hall '-C 2 2'
loop_
_atom_site_label
_atom_site_type_symbol
_atom_site_fract_x
_atom_site_fract_y
_atom_site_fract_z
_atom_site_occupancy
In1 In 0.000 0.000 0.000 1
In2 In 0.200 0.500 0.500 1
In3 In 0.250 0.250 0.000 1
Co1 Co 0.000 0.210 0.500 1
Co2 Co 0.000 0.500 0.000 1
```

* D(E_F): 0.57 states/eV/atom
* energy of formation: 2.36 eV per formula unit
* excess energy over the best structure of this formula in the dataset: 119 meV per atom